Arrangement one

Computed, not measured: a relaxed structure of GeBrO2 at the PBE level of DFT.

As for the crystal system: trigonal. The calculation puts the spin magnetization at 0.34 μB per formula unit.

The structure in CIF format:
```
data_GeBrO2
_chemical_formula_sum 'Ge3 Br3 O6'
_space_group_name_H-M_alt 'R -3 m'
_space_group_IT_number 166
_space_group_name_Hall '-R 3 2"'
_cell_length_a 3.3985
_cell_length_b 3.3985
_cell_length_c 29.0071
_cell_angle_alpha 90.00
_cell_angle_beta 90.00
_cell_angle_gamma 120.00
loop_
_atom_site_label
_atom_site_type_symbol
_atom_site_fract_x
_atom_site_fract_y
_atom_site_fract_z
Ge1 Ge 0.0000 0.0000 0.0000
Br1 Br 0.0000 0.0000 0.5000
O1 O 0.0000 0.0000 0.0561
```

Arrangement two

Computed, not measured: a relaxed structure of GeBrO2 at the PBE level of DFT.

As for the crystal system: tetragonal. The calculation puts the spin magnetization at 1.00 μB per formula unit.

The structure in CIF format:
```
data_GeBrO2
_chemical_formula_sum 'Ge4 Br4 O8'
_space_group_name_H-M_alt 'I -4 2 d'
_space_group_IT_number 122
_space_group_name_Hall 'I -4 2bw'
_cell_length_a 5.7032
_cell_length_b 5.7032
_cell_length_c 8.0533
_cell_angle_alpha 90.00
_cell_angle_beta 90.00
_cell_angle_gamma 90.00
loop_
_atom_site_label
_atom_site_type_symbol
_atom_site_fract_x
_atom_site_fract_y
_atom_site_fract_z
Ge1 Ge 0.0000 0.0000 0.0000
Br1 Br 0.0000 0.0000 0.5000
O1 O 0.0182 0.2500 0.1250
```

It is arrangement one that is the least stable of them.

Arrangement one

Computed, not measured: a relaxed structure of GeBrO2 at the PBE level of DFT.

As for the crystal system: cubic. The calculation puts the spin magnetization at 2.11 μB per formula unit.

The structure in CIF format:
```
data_GeBrO2
_chemical_formula_sum 'Ge4 Br4 O8'
_space_group_name_H-M_alt 'F m -3 m'
_space_group_IT_number 225
_space_group_name_Hall '-F 4 2 3'
_cell_length_a 6.0430
_cell_length_b 6.0430
_cell_length_c 6.0430
_cell_angle_alpha 90.00
_cell_angle_beta 90.00
_cell_angle_gamma 90.00
loop_
_atom_site_label
_atom_site_type_symbol
_atom_site_fract_x
_atom_site_fract_y
_atom_site_fract_z
Ge1 Ge 0.0000 0.0000 0.0000
Br1 Br 0.0000 0.0000 0.5000
O1 O 0.2500 0.2500 0.2500
```

Arrangement two

Computed, not measured: a relaxed structure of GeBrO2 at the PBE level of DFT.

As for the crystal system: trigonal. The calculation puts the spin magnetization at 0.00 μB per formula unit.

The structure in CIF format:
```
data_GeBrO2
_chemical_formula_sum 'Ge3 Br3 O6'
_space_group_name_H-M_alt 'R -3 m'
_space_group_IT_number 166
_space_group_name_Hall '-R 3 2"'
_cell_length_a 2.9073
_cell_length_b 2.9073
_cell_length_c 25.7036
_cell_angle_alpha 90.00
_cell_angle_beta 90.00
_cell_angle_gamma 120.00
loop_
_atom_site_label
_atom_site_type_symbol
_atom_site_fract_x
_atom_site_fract_y
_atom_site_fract_z
Ge1 Ge 0.0000 0.0000 0.0000
Br1 Br 0.0000 0.0000 0.5000
O1 O 0.0000 0.0000 0.3710
```

It is arrangement one that is the least stable of them.

Arrangement one

Computed, not measured: a relaxed structure of GeBrO at the PBE level of DFT.

As for the crystal system: orthorhombic. The calculation puts the spin magnetization at 0.00 μB per formula unit.

The structure in CIF format:
```
data_GeBrO
_chemical_formula_sum 'Ge1 Br1 O1'
_space_group_name_H-M_alt 'P m m 2'
_space_group_IT_number 25
_space_group_name_Hall 'P 2 -2'
_cell_length_a 3.1760
_cell_length_b 4.7607
_cell_length_c 4.7526
_cell_angle_alpha 90.00
_cell_angle_beta 90.00
_cell_angle_gamma 90.00
loop_
_atom_site_label
_atom_site_type_symbol
_atom_site_fract_x
_atom_site_fract_y
_atom_site_fract_z
Ge1 Ge 0.0000 0.0000 0.0000
Br1 Br 0.0000 0.5000 0.2024
O1 O 0.5000 0.0000 0.7947
```

Arrangement two

Computed, not measured: a relaxed structure of GeBrO at the PBE level of DFT.

As for the crystal system: triclinic. The calculation puts the spin magnetization at 0.00 μB per formula unit.

The structure in CIF format:
```
data_GeBrO
_chemical_formula_sum 'Ge2 Br2 O2'
_space_group_name_H-M_alt 'P -1'
_space_group_IT_number 2
_space_group_name_Hall '-P 1'
_cell_length_a 3.9278
_cell_length_b 4.6831
_cell_length_c 9.3334
_cell_angle_alpha 99.89
_cell_angle_beta 90.05
_cell_angle_gamma 114.77
loop_
_atom_site_label
_atom_site_type_symbol
_atom_site_fract_x
_atom_site_fract_y
_atom_site_fract_z
Ge1 Ge 0.1441 0.2872 0.0600
Br1 Br 0.1921 0.3834 0.3125
O1 O 0.3216 0.6435 0.9728
```

It is arrangement one that is the least stable of them.

Arrangement one

Computed, not measured: a relaxed structure of GeBrO at the PBE level of DFT.

As for the crystal system: triclinic. The calculation puts the spin magnetization at 0.00 μB per formula unit.

The structure in CIF format:
```
data_GeBrO
_chemical_formula_sum 'Ge2 Br2 O2'
_space_group_name_H-M_alt 'P 1'
_space_group_IT_number 1
_space_group_name_Hall 'P 1'
_cell_length_a 5.1071
_cell_length_b 6.4499
_cell_length_c 6.6281
_cell_angle_alpha 118.91
_cell_angle_beta 112.09
_cell_angle_gamma 90.71
loop_
_atom_site_label
_atom_site_type_symbol
_atom_site_fract_x
_atom_site_fract_y
_atom_site_fract_z
Ge1 Ge 0.0000 0.0000 0.0000
Ge2 Ge 0.4893 0.3251 0.0008
Br1 Br 0.0825 0.9698 0.3551
Br2 Br 0.7325 0.6124 0.6458
O1 O 0.3368 0.0612 0.0000
O2 O 0.8271 0.2332 0.9988
```

Arrangement two

Computed, not measured: a relaxed structure of GeBrO at the PBE level of DFT.

As for the crystal system: orthorhombic. The calculation puts the spin magnetization at 0.00 μB per formula unit.

The structure in CIF format:
```
data_GeBrO
_chemical_formula_sum 'Ge4 Br4 O4'
_space_group_name_H-M_alt 'A m m 2'
_space_group_IT_number 38
_space_group_name_Hall 'A 2 -2'
_cell_length_a 12.4411
_cell_length_b 4.7676
_cell_length_c 6.7360
_cell_angle_alpha 90.00
_cell_angle_beta 90.00
_cell_angle_gamma 90.00
loop_
_atom_site_label
_atom_site_type_symbol
_atom_site_fract_x
_atom_site_fract_y
_atom_site_fract_z
Ge1 Ge 0.0000 0.0000 0.0000
Ge2 Ge 0.5000 0.0000 0.0639
Br1 Br 0.3587 0.0000 0.3253
O1 O 0.1306 0.0000 0.0035
```

It is arrangement two that is the least stable of them.

Arrangement one

Computed, not measured: a relaxed structure of GeBr3O at the PBE level of DFT.

As for the crystal system: cubic. The calculation puts the spin magnetization at 2.23 μB per formula unit.

The structure in CIF format:
```
data_GeBr3O
_chemical_formula_sum 'Ge1 Br3 O1'
_space_group_name_H-M_alt 'P m -3 m'
_space_group_IT_number 221
_space_group_name_Hall '-P 4 2 3'
_cell_length_a 5.2612
_cell_length_b 5.2612
_cell_length_c 5.2612
_cell_angle_alpha 90.00
_cell_angle_beta 90.00
_cell_angle_gamma 90.00
loop_
_atom_site_label
_atom_site_type_symbol
_atom_site_fract_x
_atom_site_fract_y
_atom_site_fract_z
Ge1 Ge 0.0000 0.0000 0.0000
Br1 Br 0.0000 0.0000 0.5000
O1 O 0.5000 0.5000 0.5000
```

Arrangement two

Computed, not measured: a relaxed structure of GeBr3O at the PBE level of DFT.

As for the crystal system: cubic. The calculation puts the spin magnetization at 0.00 μB per formula unit.

The structure in CIF format:
```
data_GeBr3O
_chemical_formula_sum 'Ge1 Br3 O1'
_space_group_name_H-M_alt 'P m -3 m'
_space_group_IT_number 221
_space_group_name_Hall '-P 4 2 3'
_cell_length_a 4.7932
_cell_length_b 4.7932
_cell_length_c 4.7932
_cell_angle_alpha 90.00
_cell_angle_beta 90.00
_cell_angle_gamma 90.00
loop_
_atom_site_label
_atom_site_type_symbol
_atom_site_fract_x
_atom_site_fract_y
_atom_site_fract_z
Ge1 Ge 0.0000 0.0000 0.0000
Br1 Br 0.0000 0.5000 0.5000
O1 O 0.5000 0.5000 0.5000
```

It is arrangement two that is the least stable of them.

Arrangement one

Computed, not measured: a relaxed structure of GePBrO2 at the PBE level of DFT.

As for the crystal system: tetragonal. The calculation puts the spin magnetization at 0.26 μB per formula unit.

The structure in CIF format:
```
data_GePBrO2
_chemical_formula_sum 'Ge1 P1 Br1 O2'
_space_group_name_H-M_alt 'P 4/m m m'
_space_group_IT_number 123
_space_group_name_Hall '-P 4 2'
_cell_length_a 3.6818
_cell_length_b 3.6818
_cell_length_c 5.5537
_cell_angle_alpha 90.00
_cell_angle_beta 90.00
_cell_angle_gamma 90.00
loop_
_atom_site_label
_atom_site_type_symbol
_atom_site_fract_x
_atom_site_fract_y
_atom_site_fract_z
Ge1 Ge 0.0000 0.0000 0.0000
P1 P 0.0000 0.0000 0.5000
Br1 Br 0.5000 0.5000 0.5000
O1 O 0.0000 0.5000 0.0000
```

Arrangement two

Computed, not measured: a relaxed structure of GePBrO2 at the PBE level of DFT.

As for the crystal system: tetragonal. The calculation puts the spin magnetization at 0.00 μB per formula unit.

The structure in CIF format:
```
data_GePBrO2
_chemical_formula_sum 'Ge1 P1 Br1 O2'
_space_group_name_H-M_alt 'P 4/m m m'
_space_group_IT_number 123
_space_group_name_Hall '-P 4 2'
_cell_length_a 3.9222
_cell_length_b 3.9222
_cell_length_c 5.1076
_cell_angle_alpha 90.00
_cell_angle_beta 90.00
_cell_angle_gamma 90.00
loop_
_atom_site_label
_atom_site_type_symbol
_atom_site_fract_x
_atom_site_fract_y
_atom_site_fract_z
Ge1 Ge 0.0000 0.0000 0.0000
P1 P 0.5000 0.5000 0.0000
Br1 Br 0.5000 0.5000 0.5000
O1 O 0.0000 0.5000 0.5000
```

It is arrangement two that is the least stable of them.

Arrangement one

Computed, not measured: a relaxed structure of GeSeBr2O at the PBE level of DFT.

As for the crystal system: tetragonal. The calculation puts the spin magnetization at 3.31 μB per formula unit.

The structure in CIF format:
```
data_GeSeBr2O
_chemical_formula_sum 'Ge1 Se1 Br2 O1'
_space_group_name_H-M_alt 'P 4/m m m'
_space_group_IT_number 123
_space_group_name_Hall '-P 4 2'
_cell_length_a 5.2413
_cell_length_b 5.2413
_cell_length_c 5.2301
_cell_angle_alpha 90.00
_cell_angle_beta 90.00
_cell_angle_gamma 90.00
loop_
_atom_site_label
_atom_site_type_symbol
_atom_site_fract_x
_atom_site_fract_y
_atom_site_fract_z
Ge1 Ge 0.0000 0.0000 0.0000
Se1 Se 0.0000 0.0000 0.5000
Br1 Br 0.0000 0.5000 0.0000
O1 O 0.5000 0.5000 0.5000
```

Arrangement two

Computed, not measured: a relaxed structure of GeSeBr2O at the PBE level of DFT.

As for the crystal system: tetragonal. The calculation puts the spin magnetization at 0.00 μB per formula unit.

The structure in CIF format:
```
data_GeSeBr2O
_chemical_formula_sum 'Ge1 Se1 Br2 O1'
_space_group_name_H-M_alt 'P 4/m m m'
_space_group_IT_number 123
_space_group_name_Hall '-P 4 2'
_cell_length_a 4.8033
_cell_length_b 4.8033
_cell_length_c 4.4983
_cell_angle_alpha 90.00
_cell_angle_beta 90.00
_cell_angle_gamma 90.00
loop_
_atom_site_label
_atom_site_type_symbol
_atom_site_fract_x
_atom_site_fract_y
_atom_site_fract_z
Ge1 Ge 0.0000 0.0000 0.0000
Se1 Se 0.5000 0.5000 0.0000
Br1 Br 0.0000 0.5000 0.5000
O1 O 0.5000 0.5000 0.5000
```

It is arrangement one that is the least stable of them.

Arrangement one

Computed, not measured: a relaxed structure of Ge2OsBr at the PBE level of DFT.

As for the crystal system: tetragonal. The calculation puts the spin magnetization at 0.00 μB per formula unit.

The structure in CIF format:
```
data_Ge2OsBr
_chemical_formula_sum 'Ge8 Os4 Br4'
_space_group_name_H-M_alt 'I -4 2 d'
_space_group_IT_number 122
_space_group_name_Hall 'I -4 2bw'
_cell_length_a 6.0902
_cell_length_b 6.0902
_cell_length_c 11.8510
_cell_angle_alpha 90.00
_cell_angle_beta 90.00
_cell_angle_gamma 90.00
loop_
_atom_site_label
_atom_site_type_symbol
_atom_site_fract_x
_atom_site_fract_y
_atom_site_fract_z
Ge1 Ge 0.1636 0.2500 0.1250
Os1 Os 0.0000 0.0000 0.0000
Br1 Br 0.0000 0.0000 0.5000
```

Arrangement two

Computed, not measured: a relaxed structure of Ge2OsBr at the PBE level of DFT.

As for the crystal system: cubic. The calculation puts the spin magnetization at 1.09 μB per formula unit.

The structure in CIF format:
```
data_Ge2OsBr
_chemical_formula_sum 'Ge8 Os4 Br4'
_space_group_name_H-M_alt 'F m -3 m'
_space_group_IT_number 225
_space_group_name_Hall '-F 4 2 3'
_cell_length_a 6.6539
_cell_length_b 6.6539
_cell_length_c 6.6539
_cell_angle_alpha 90.00
_cell_angle_beta 90.00
_cell_angle_gamma 90.00
loop_
_atom_site_label
_atom_site_type_symbol
_atom_site_fract_x
_atom_site_fract_y
_atom_site_fract_z
Ge1 Ge 0.2500 0.2500 0.2500
Os1 Os 0.0000 0.0000 0.0000
Br1 Br 0.0000 0.0000 0.5000
```

It is arrangement two that is the least stable of them.